Here is an optimized crystal structure of Cd2CoRe from Alexandria. Energies are from PBE-GGA.

```
data_Cd2CoRe
_chemical_formula_sum 'Cd4 Co2 Re2'
_cell_length_a 3.201
_cell_length_b 4.454
_cell_length_c 9.244
_cell_angle_alpha 90.00
_cell_angle_beta 90.00
_cell_angle_gamma 90.00
_space_group_name_H-M_alt 'C m m m'
_space_group_IT_number 65
_space_group_name_Hall '-C 2 2'
loop_
_atom_site_label
_atom_site_type_symbol
_atom_site_fract_x
_atom_site_fract_y
_atom_site_fract_z
_atom_site_occupancy
Cd1 Cd 0.000 0.000 0.236 1
Co1 Co 0.000 0.500 0.000 1
Re1 Re 0.000 0.500 0.500 1
```

final energy = -38.28 eV per cell

***

Here is an optimized crystal structure of LaYRe2 from Alexandria. Energies are from PBE-GGA.

```
data_LaYRe2
_chemical_formula_sum 'La4 Y4 Re8'
_cell_length_a 7.908
_cell_length_b 7.908
_cell_length_c 5.731
_cell_angle_alpha 90.00
_cell_angle_beta 90.00
_cell_angle_gamma 90.00
_space_group_name_H-M_alt 'I -4 2 d'
_space_group_IT_number 122
_space_group_name_Hall 'I -4 2bw'
loop_
_atom_site_label
_atom_site_type_symbol
_atom_site_fract_x
_atom_site_fract_y
_atom_site_fract_z
_atom_site_occupancy
La1 La 0.000 0.000 0.000 1
Y1 Y 0.000 0.000 0.500 1
Re1 Re 0.249 0.750 0.625 1
```

final energy = -128.45 eV per cell

***

Here is an optimized crystal structure of TcSnN2F from Alexandria. Energies are from PBE-GGA.

```
data_TcSnN2F
_chemical_formula_sum 'Tc1 Sn1 N2 F1'
_cell_length_a 3.950
_cell_length_b 3.950
_cell_length_c 4.224
_cell_angle_alpha 90.00
_cell_angle_beta 90.00
_cell_angle_gamma 90.00
_space_group_name_H-M_alt 'P 4/m m m'
_space_group_IT_number 123
_space_group_name_Hall '-P 4 2'
loop_
_atom_site_label
_atom_site_type_symbol
_atom_site_fract_x
_atom_site_fract_y
_atom_site_fract_z
_atom_site_occupancy
Tc1 Tc 0.000 0.000 0.000 1
Sn1 Sn 0.500 0.500 0.500 1
N1 N 0.000 0.500 0.000 1
F1 F 0.000 0.000 0.500 1
```

formation energy without anion corrections = -0.30 eV per formula unit

***

Here is an optimized crystal structure of Pm2Sn3Rh from Alexandria. Energies are from PBE-GGA.

```
data_Pm2Sn3Rh
_chemical_formula_sum 'Pm4 Sn6 Rh2'
_cell_length_a 11.176
_cell_length_b 4.739
_cell_length_c 7.419
_cell_angle_alpha 90.00
_cell_angle_beta 129.67
_cell_angle_gamma 90.00
_space_group_name_H-M_alt 'C 1 m 1'
_space_group_IT_number 8
_space_group_name_Hall 'C -2y'
loop_
_atom_site_label
_atom_site_type_symbol
_atom_site_fract_x
_atom_site_fract_y
_atom_site_fract_z
_atom_site_occupancy
Pm1 Pm 0.000 0.000 0.000 1
Pm2 Pm 0.117 0.000 0.599 1
Sn1 Sn 0.170 0.500 0.930 1
Sn2 Sn 0.241 0.500 0.417 1
Sn3 Sn 0.388 0.000 0.206 1
Rh1 Rh 0.373 0.000 0.560 1
```

final energy = -66.13 eV per cell